# 1
Density functional theory data (GGA-PBE) for a relaxed Gd4YTh crystal.

The structure in CIF format:
```
data_Gd4YTh
_chemical_formula_sum 'Gd4 Y1 Th1'
_cell_length_a 6.546
_cell_length_b 6.546
_cell_length_c 6.546
_cell_angle_alpha 60.00
_cell_angle_beta 60.00
_cell_angle_gamma 60.00
_symmetry_space_group_name_H-M 'P 1'
_symmetry_Int_Tables_number 1
loop_
_symmetry_equiv_pos_as_xyz
'x,y,z'
loop_
_atom_site_label
_atom_site_type_symbol
_atom_site_fract_x
_atom_site_fract_y
_atom_site_fract_z
Gd1 Gd 0.376 0.376 0.376
Gd2 Gd 0.376 0.376 0.873
Gd3 Gd 0.376 0.873 0.376
Gd4 Gd 0.873 0.376 0.376
Y1 Y 0.000 0.000 0.000
Th1 Th 0.750 0.750 0.750
```

Calculated values
As for the formation energy: 0.29 eV per atom. For the density of states at the Fermi level, the calculation gives 16.98 states/eV/cell. The space-group type is F-43m, No. 216. The calculation puts the magnetic moment at 5.177 μB/atom.



# 2
Density functional theory data (GGA-PBE) for a relaxed BaSiMo2 crystal.

The structure in CIF format:
```
data_BaSiMo2
_chemical_formula_sum 'Ba1 Si1 Mo2'
_cell_length_a 5.981
_cell_length_b 5.981
_cell_length_c 5.981
_cell_angle_alpha 148.97
_cell_angle_beta 123.18
_cell_angle_gamma 66.16
_symmetry_space_group_name_H-M 'P 1'
_symmetry_Int_Tables_number 1
loop_
_symmetry_equiv_pos_as_xyz
'x,y,z'
loop_
_atom_site_label
_atom_site_type_symbol
_atom_site_fract_x
_atom_site_fract_y
_atom_site_fract_z
Ba1 Ba 0.000 0.000 0.000
Si1 Si 0.702 0.202 0.500
Mo1 Mo 0.300 0.800 0.500
Mo2 Mo 0.480 0.480 0.000
```

Calculated values
The formation energy without anion corrections is 0.91 eV per atom. For the density of states at the Fermi level, the calculation gives 3.71 states/eV/cell. The space-group type is Imm2, No. 44. The calculation puts the magnetic moment at 0.000 μB/atom.



# 3
Density functional theory data (GGA-PBE) for a relaxed Tb4Sm2ErTm2 crystal.

The structure in CIF format:
```
data_Tb4Sm2ErTm2
_chemical_formula_sum 'Tb4 Sm2 Er1 Tm2'
_cell_length_a 9.478
_cell_length_b 9.478
_cell_length_c 9.527
_cell_angle_alpha 115.22
_cell_angle_beta 115.22
_cell_angle_gamma 21.82
_symmetry_space_group_name_H-M 'P 1'
_symmetry_Int_Tables_number 1
loop_
_symmetry_equiv_pos_as_xyz
'x,y,z'
loop_
_atom_site_label
_atom_site_type_symbol
_atom_site_fract_x
_atom_site_fract_y
_atom_site_fract_z
Tb1 Tb 0.018 0.018 0.330
Tb2 Tb 0.315 0.315 0.669
Tb3 Tb 0.685 0.685 0.331
Tb4 Tb 0.982 0.982 0.670
Sm1 Sm 0.352 0.352 0.332
Sm2 Sm 0.648 0.648 0.668
Er1 Er 0.500 0.500 0.000
Tm1 Tm 0.167 0.167 0.001
Tm2 Tm 0.833 0.833 0.999
```

Calculated values
As for the formation energy: 0.01 eV per atom. For the density of states at the Fermi level, the calculation gives 12.14 states/eV/cell. The space-group type is C2/m, No. 12. The calculation puts the magnetic moment at 0.000 μB/atom.



# 4
Density functional theory data (GGA-PBE) for a relaxed CsYCl2O crystal.

The structure in CIF format:
```
data_CsYCl2O
_chemical_formula_sum 'Cs1 Y1 Cl2 O1'
_cell_length_a 6.321
_cell_length_b 6.321
_cell_length_c 4.047
_cell_angle_alpha 90.00
_cell_angle_beta 90.00
_cell_angle_gamma 90.00
_symmetry_space_group_name_H-M 'P 1'
_symmetry_Int_Tables_number 1
loop_
_symmetry_equiv_pos_as_xyz
'x,y,z'
loop_
_atom_site_label
_atom_site_type_symbol
_atom_site_fract_x
_atom_site_fract_y
_atom_site_fract_z
Cs1 Cs 0.000 0.000 0.000
Y1 Y 0.500 0.500 0.000
Cl1 Cl 0.000 0.500 0.500
Cl2 Cl 0.500 0.000 0.500
O1 O 0.500 0.500 0.500
```

Calculated values
The formation energy without anion corrections is -1.81 eV per atom. For the density of states at the Fermi level, the calculation gives 0.00 states/eV/cell. The space-group type is P4/mmm, No. 123. The calculation puts the magnetic moment at 0.000 μB/atom.



# 5
Density functional theory data (GGA-PBE) for a relaxed La6FeRh2I3 crystal.

The structure in CIF format:
```
data_La6FeRh2I3
_chemical_formula_sum 'La6 Fe1 Rh2 I3'
_cell_length_a 7.262
_cell_length_b 7.262
_cell_length_c 8.613
_cell_angle_alpha 98.07
_cell_angle_beta 98.07
_cell_angle_gamma 119.99
_symmetry_space_group_name_H-M 'P 1'
_symmetry_Int_Tables_number 1
loop_
_symmetry_equiv_pos_as_xyz
'x,y,z'
loop_
_atom_site_label
_atom_site_type_symbol
_atom_site_fract_x
_atom_site_fract_y
_atom_site_fract_z
La1 La 0.061 0.381 0.184
La2 La 0.259 0.259 0.816
La3 La 0.381 0.061 0.184
La4 La 0.619 0.939 0.816
La5 La 0.741 0.741 0.184
La6 La 0.939 0.619 0.816
Fe1 Fe 0.000 0.000 0.000
Rh1 Rh 0.333 0.667 0.000
Rh2 Rh 0.667 0.333 0.000
I1 I 0.167 0.833 0.500
I2 I 0.500 0.500 0.500
I3 I 0.833 0.167 0.500
```

Calculated values
The formation energy without anion corrections is -0.87 eV per atom. For the density of states at the Fermi level, the calculation gives 4.75 states/eV/cell. The space-group type is C2/m, No. 12. The calculation puts the magnetic moment at 0.000 μB/atom.



# 6
Density functional theory data (GGA-PBE) for a relaxed La2GdCo crystal.

The structure in CIF format:
```
data_La2GdCo
_chemical_formula_sum 'La2 Gd1 Co1'
_cell_length_a 10.642
_cell_length_b 10.642
_cell_length_c 10.642
_cell_angle_alpha 20.41
_cell_angle_beta 20.41
_cell_angle_gamma 20.41
_symmetry_space_group_name_H-M 'P 1'
_symmetry_Int_Tables_number 1
loop_
_symmetry_equiv_pos_as_xyz
'x,y,z'
loop_
_atom_site_label
_atom_site_type_symbol
_atom_site_fract_x
_atom_site_fract_y
_atom_site_fract_z
La1 La 0.114 0.114 0.114
La2 La 0.886 0.886 0.886
Gd1 Gd 0.000 0.000 0.000
Co1 Co 0.500 0.500 0.500
```

Calculated values
As for the formation energy: 0.14 eV per atom. For the density of states at the Fermi level, the calculation gives 8.92 states/eV/cell. The space-group type is R-3m, No. 166. The calculation puts the magnetic moment at 2.010 μB/atom.



# 7
Density functional theory data (GGA-PBE) for a relaxed KTl6Br8 crystal.

The structure in CIF format:
```
data_KTl6Br8
_chemical_formula_sum 'K1 Tl6 Br8'
_cell_length_a 8.750
_cell_length_b 8.750
_cell_length_c 8.750
_cell_angle_alpha 103.99
_cell_angle_beta 103.99
_cell_angle_gamma 103.99
_symmetry_space_group_name_H-M 'P 1'
_symmetry_Int_Tables_number 1
loop_
_symmetry_equiv_pos_as_xyz
'x,y,z'
loop_
_atom_site_label
_atom_site_type_symbol
_atom_site_fract_x
_atom_site_fract_y
_atom_site_fract_z
K1 K 0.000 0.000 0.000
Tl1 Tl 0.096 0.304 0.552
Tl2 Tl 0.304 0.552 0.096
Tl3 Tl 0.448 0.904 0.696
Tl4 Tl 0.552 0.096 0.304
Tl5 Tl 0.696 0.448 0.904
Tl6 Tl 0.904 0.696 0.448
Br1 Br 0.156 0.675 0.786
Br2 Br 0.214 0.844 0.325
Br3 Br 0.314 0.314 0.314
Br4 Br 0.325 0.214 0.844
Br5 Br 0.675 0.786 0.156
Br6 Br 0.686 0.686 0.686
Br7 Br 0.786 0.156 0.675
Br8 Br 0.844 0.325 0.214
```

Calculated values
The formation energy without anion corrections is -0.86 eV per atom. For the density of states at the Fermi level, the calculation gives 12.32 states/eV/cell. The space-group type is R-3, No. 148. The calculation puts the magnetic moment at 0.000 μB/atom.



# 8
Density functional theory data (GGA-PBE) for a relaxed Ti2Al2Ag crystal.

The structure in CIF format:
```
data_Ti2Al2Ag
_chemical_formula_sum 'Ti4 Al4 Ag2'
_cell_length_a 6.544
_cell_length_b 6.544
_cell_length_c 3.982
_cell_angle_alpha 90.00
_cell_angle_beta 90.00
_cell_angle_gamma 90.00
_symmetry_space_group_name_H-M 'P 1'
_symmetry_Int_Tables_number 1
loop_
_symmetry_equiv_pos_as_xyz
'x,y,z'
loop_
_atom_site_label
_atom_site_type_symbol
_atom_site_fract_x
_atom_site_fract_y
_atom_site_fract_z
Ti1 Ti 0.158 0.342 0.000
Ti2 Ti 0.342 0.842 0.000
Ti3 Ti 0.658 0.158 0.000
Ti4 Ti 0.842 0.658 0.000
Al1 Al 0.138 0.638 0.500
Al2 Al 0.362 0.138 0.500
Al3 Al 0.638 0.862 0.500
Al4 Al 0.862 0.362 0.500
Ag1 Ag 0.000 0.000 0.500
Ag2 Ag 0.500 0.500 0.500
```

Calculated values
As for the formation energy: -0.19 eV per atom. For the density of states at the Fermi level, the calculation gives 4.95 states/eV/cell. The space-group type is P4/mbm, No. 127. The calculation puts the magnetic moment at 0.000 μB/atom.